Computed, not measured: an optimized crystal structure of Pm8Pr3 at the PBE level of DFT.

The energy of formation from the pure elements comes out at 482.7 kJ/mol of formula units. For the volume, the calculation gives 35.04 A^3/atom. The calculation puts the calculated density at 6.8 g/cm3.

It has space group R-3 (No. 148, hexagonal axes), with a = 9.9598 Å, b = 9.9598 Å, c = 13.4612 Å, α = 90.00°, β = 90.00° and γ = 120.00°. Symmetry generates all atoms from Pm at (0.0000, 0.0000, 0.1224), Pm at (0.0310, 0.8078, 0.6133) and Pr at (0.0000, 0.5000, 0.5000).